Crystalline As3Ir at its relaxed geometry, computed with GGA-PBE.

a = 5.219 Å, b = 5.219 Å, c = 5.219 Å
α = 116.29°, β = 116.29°, γ = 116.29°
Fractional positions:
1 As 0.000 0.500 0.500
2 As 0.500 0.000 0.500
3 As 0.500 0.500 0.000
4 Ir 0.000 0.000 0.000

Properties
Energy relative to the elements: 0.492 eV per atom
Fermi-level density of states: 2.62 states/eV/cell